(1)
6
Lattice="0.000 4.140 4.140 4.140 0.000 4.140 4.140 4.140 0.000" Properties=species:S:1:pos:R:3 comment="In4PbW | Alexandria | PBE | optimized geometry" ef_ev_per_atom=0.795 pbc="T T T"
In 3.100 5.180 5.180
In 5.180 5.180 3.100
In 5.180 3.100 5.180
In 3.100 3.100 3.100
Pb 6.210 6.210 6.210
W 0.000 0.000 0.000


(2)
4
Lattice="-5.151 1.910 1.902 0.160 -5.312 -2.358 -0.209 -1.703 2.626" Properties=species:S:1:pos:R:3 comment="In2PbW | Alexandria | PBE | optimized geometry" ef_ev_per_atom=0.831 pbc="T T T"
In 0.000 0.000 0.000
In -2.496 -1.701 -0.228
Pb -2.680 0.104 2.264
W -0.025 -3.507 0.134


(3)
4
Lattice="-0.793 1.682 5.259 3.135 -2.571 3.832 0.075 3.153 -4.602" Properties=species:S:1:pos:R:3 comment="InPbW2 | Alexandria | PBE | optimized geometry" ef_ev_per_atom=1.018 pbc="T T T"
In 0.226 2.195 2.602
Pb 2.190 0.069 1.888
W 0.005 -0.002 0.018
W 1.166 -0.443 4.528


(4)
4
Lattice="-2.623 -1.440 0.060 2.320 -1.818 -0.520 1.109 -1.584 10.476" Properties=species:S:1:pos:R:3 comment="InPbW2 | Alexandria | PBE | optimized geometry" ef_ev_per_atom=0.577 pbc="T T T"
In 0.507 -0.725 4.794
Pb 0.723 -2.877 8.026
W 0.039 -0.056 0.368
W 0.092 -1.976 2.065


(5)
4
Lattice="-0.929 3.891 2.494 1.357 -1.192 2.365 5.268 2.097 -1.308" Properties=species:S:1:pos:R:3 comment="InPbW2 | Alexandria | PBE | optimized geometry" ef_ev_per_atom=0.929 pbc="T T T"
In 1.192 2.172 1.511
Pb 4.505 2.624 2.040
W 1.466 -1.009 2.121
W 3.204 0.270 0.772


(6)
4
Lattice="3.065 -0.026 0.000 -0.957 2.912 0.000 0.000 0.000 10.807" Properties=species:S:1:pos:R:3 comment="In2PbW | Alexandria | PBE | optimized geometry" ef_ev_per_atom=0.560 pbc="T T T"
In 0.000 0.000 10.495
In 1.054 1.443 2.410
Pb 0.000 0.000 5.865
W 1.054 1.443 8.247


(7)
4
Lattice="-3.047 -1.314 -0.630 1.060 -3.001 1.131 -1.983 1.633 6.191" Properties=species:S:1:pos:R:3 comment="InPbW2 | Alexandria | PBE | optimized geometry" ef_ev_per_atom=1.134 pbc="T T T"
In -1.489 -1.749 1.799
Pb -2.481 -0.932 4.894
W -0.031 0.025 0.096
W -0.961 0.791 2.999


(8)
4
Lattice="5.441 0.013 0.001 4.438 3.147 0.001 1.751 0.560 4.865" Properties=species:S:1:pos:R:3 comment="InPbW2 | Alexandria | PBE | optimized geometry" ef_ev_per_atom=0.781 pbc="T T T"
In 5.738 1.836 2.691
Pb 2.977 0.952 0.992
W 0.355 0.114 0.019
W 8.374 2.679 3.597